Compound: CrAgPdO4
Source: Alexandria
Functional: GGA+U
Structure: relaxed

extended XYZ file:
```
14
Lattice="-3.098 3.209 4.396 3.098 -3.209 4.396 3.098 3.209 -4.396" Properties=species:S:1:pos:R:3 pbc="T T T"
Cr -1.549 1.604 2.198
Cr 1.549 1.604 2.198
Ag 3.098 1.604 -1.213
Ag 0.000 1.604 5.609
Pd 0.000 0.000 0.000
Pd 0.000 3.209 0.000
O 1.313 1.604 0.158
O 1.785 -1.604 4.554
O 0.000 0.299 2.052
O 3.098 0.299 2.344
O 0.000 2.910 2.052
O 3.098 2.910 2.344
O 1.313 4.813 -0.158
O 1.785 1.604 4.238
```

Symmetry   No. 74
Calculated total energy   -5.941 eV/atom